(1)
PrMgTlBi after structural relaxation. Source: Alexandria, functional PBE-GGA.

Summary:
- SG = F-43m (216)
- formation energy from the elements (meV per atom) = -270
- DOS(E_F) (states/eV per atom) = 1.055

a b c (Å): 5.474 5.474 5.474
angles (deg): 60.00 60.00 60.00
Fractional positions:
Pr (0.000, 0.000, 0.000)
Mg (0.500, 0.500, 0.500)
Tl (0.750, 0.750, 0.750)
Bi (0.250, 0.250, 0.250)



(2)
PrYMgBi after structural relaxation. Source: Alexandria, functional PBE-GGA.

Summary:
- SG = F-43m (216)
- formation energy from the elements (meV per atom) = -348
- DOS(E_F) (states/eV per atom) = 1.040

a b c (Å): 5.506 5.506 5.506
angles (deg): 60.00 60.00 60.00
Fractional positions:
Pr (0.000, 0.000, 0.000)
Y (0.500, 0.500, 0.500)
Mg (0.250, 0.250, 0.250)
Bi (0.750, 0.750, 0.750)



(3)
Mg2BiPt after structural relaxation. Source: Alexandria, functional PBE-GGA.

Summary:
- SG = P4/mmm (123)
- formation energy from the elements (meV per atom) = -355
- DOS(E_F) (states/eV per atom) = 0.405

a b c (Å): 4.477 4.477 4.078
angles (deg): 90.00 90.00 90.00
Fractional positions:
Mg (0.000, 0.500, 0.000)
Mg (0.500, 0.000, 0.000)
Bi (0.000, 0.000, 0.500)
Pt (0.500, 0.500, 0.500)



(4)
MgBi2Pt after structural relaxation. Source: Alexandria, functional PBE-GGA.

Summary:
- SG = R-3m (166)
- formation energy from the elements (meV per atom) = -22
- DOS(E_F) (states/eV per atom) = 0.464

a b c (Å): 9.415 9.415 9.415
angles (deg): 24.25 24.25 24.25
Fractional positions:
Mg (0.000, 0.000, 0.000)
Bi (0.109, 0.109, 0.109)
Bi (0.891, 0.891, 0.891)
Pt (0.500, 0.500, 0.500)



(5)
Mg2BiPt after structural relaxation. Source: Alexandria, functional PBE-GGA.

Summary:
- SG = I-42d (122)
- formation energy from the elements (meV per atom) = -219
- DOS(E_F) (states/eV per atom) = 0.534

a b c (Å): 6.315 6.315 6.315
angles (deg): 103.20 103.20 122.90
Fractional positions:
Mg (0.071, 0.125, 0.446)
Mg (0.375, 0.929, 0.054)
Mg (0.679, 0.625, 0.554)
Mg (0.875, 0.321, 0.946)
Bi (0.250, 0.750, 0.500)
Bi (0.500, 0.500, 0.000)
Pt (0.000, 0.000, 0.000)
Pt (0.750, 0.250, 0.500)



(6)
MgBi2Pt2 after structural relaxation. Source: Alexandria, functional PBE-GGA.

Summary:
- SG = P4/mbm (127)
- energy above the most stable polymorph in this dataset (meV per atom) = 278
- formation energy from the elements (meV per atom) = -16
- DOS(E_F) (states/eV per atom) = 0.545

a b c (Å): 8.086 8.086 3.524
angles (deg): 90.00 90.00 90.00
Fractional positions:
Mg (0.000, 0.000, 0.000)
Mg (0.500, 0.500, 0.000)
Bi (0.162, 0.338, 0.000)
Bi (0.338, 0.838, 0.000)
Bi (0.662, 0.162, 0.000)
Bi (0.838, 0.662, 0.000)
Pt (0.131, 0.631, 0.500)
Pt (0.369, 0.131, 0.500)
Pt (0.631, 0.869, 0.500)
Pt (0.869, 0.369, 0.500)



Which value of formation energy from the elements does entry 4 give? -22 meV per atom



Which of these has the lowest DOS(E_F)? number 3



Look up the DOS(E_F) of the fourth one. 0.464 states/eV per atom